The following is a DFT calculation (PBE with a Hubbard U) of a geometry-optimized RbHgMoF6 structure.

Output
total DFT energy (no corrections): -39.830 eV/cell

Unit cell a=5.1295 b=5.9789 c=6.1570 alpha=117.31 beta=91.20 gamma=90.91
Closest atoms and distances in Å follow each position.
Sites, in units of the cell vectors:
Rb  0.0000  0.0000  0.0000  8 F 2.91-3.25
Hg  0.4107  0.3357  0.6906  5 F 2.58-2.88
Mo  0.6339  0.6846  0.3418  6 F 1.96-2.04
F  0.3340  0.4507  0.1885  1 Mo 1.97
F  0.4698  0.9301  0.2510  1 Mo 1.99
F  0.4770  0.8533  0.6796  1 Mo 2.04
F  0.7947  0.5222  0.0049  1 Mo 2.04
F  0.7975  0.4376  0.4261  1 Mo 1.97
F  0.9281  0.9260  0.4873  1 Mo 1.96